# 1
DFT (PBE) results for a relaxed Er3In5S12 crystal.

The structure in extended XYZ format:
```
80
Lattice="-8.4203 -8.1692 -6.7744 9.6065 -7.4109 6.0268 -6.9498 6.8740 9.3796" Properties=species:S:1:pos:R:3 pbc="T T T"
Er -3.5815 -8.0468 -1.6482
Er -1.0316 -11.8470 -0.2350
Er -0.2964 -4.3254 7.8420
Er -3.5104 -0.3909 2.5771
Er -7.9044 -6.3559 -2.8293
Er 1.1090 -5.9768 3.5713
Er -6.8726 -2.7293 5.0608
Er 2.1408 -2.3502 11.4614
Er -2.2532 -8.3152 6.0550
Er -5.4673 -4.3807 0.7901
Er -4.7320 3.1409 8.8671
Er -2.1821 -0.6594 10.2804
In 0.8124 -2.0817 3.7582
In 4.8033 -3.7055 3.0134
In 0.0000 0.0000 0.0000
In -1.6247 -4.0569 0.1388
In -7.6851 -0.6476 1.3026
In 0.5931 -7.7901 -0.3738
In 3.5462 -4.0016 7.1907
In -11.1955 -1.0385 3.8798
In -2.9174 -8.1810 2.2034
In -7.1692 1.1657 5.2477
In 1.4055 -9.8718 3.3844
In -2.8818 -4.3531 4.3161
In -4.2102 -4.0846 -3.3872
In -3.4749 3.4370 4.6898
In -2.8463 -0.5251 6.4288
In 5.4319 -7.6676 4.7524
In 1.3283 -0.2685 7.7032
In -9.3098 -4.7045 1.4414
In -4.1389 -4.6492 8.4933
In -6.5761 -6.6244 4.8739
S -5.0996 -6.5394 -3.6466
S -0.3825 -3.8697 4.9518
S -6.4575 -8.5910 -1.6124
S -3.4092 -5.1697 -1.1366
S -2.7142 -5.4916 6.6740
S -3.6062 -10.9536 -1.3042
S 1.8813 -5.6161 6.3717
S 7.1252 -6.5679 6.1569
S -0.4504 -7.2377 8.0943
S -1.6219 -9.0288 0.2922
S -4.7675 -7.2211 0.8977
S 1.4972 -13.2087 0.3313
S 2.0018 -2.6575 8.5537
S 0.2708 -5.4720 0.8124
S 5.4875 -4.9484 8.3673
S -6.2877 -0.3231 3.4995
S -0.5856 -0.4886 2.5105
S 2.0393 -8.1074 1.7923
S -0.1406 -11.5888 2.5414
S 2.2551 -3.5469 2.4085
S 0.6435 -4.7091 10.5876
S -1.7394 -6.6366 3.7123
S -3.5406 -9.8375 3.9113
S -9.7869 -2.5238 5.2433
S -4.0242 -2.0695 4.9199
S -2.2231 1.1313 4.7208
S 4.0233 -6.1823 3.3888
S -5.6230 2.8827 6.0907
S -6.4071 -3.9970 -1.9555
S -8.0187 -5.1592 6.2236
S -7.8029 -0.5987 6.8398
S 0.5241 -8.3831 5.1326
S -5.1780 -8.2175 6.1216
S -11.2511 -3.7578 0.2649
S -7.7654 -6.0487 0.0784
S -7.2608 4.5026 8.3008
S -6.0345 -3.2341 7.8197
S -5.3133 -1.4685 0.5378
S -4.1417 0.3227 8.3399
S -0.9961 -1.4851 7.7345
S -12.8889 -2.1382 2.4752
S -7.6449 -3.0900 2.2604
S -2.3544 -3.5364 9.7687
S -2.1574 2.2475 9.9363
S -3.0494 -3.2146 1.9581
S 0.6939 -0.1151 10.2445
S -5.3811 -4.8364 3.6804
S -0.6641 -2.1668 12.2787
```

Properties
The space group is Ia-3d. The value obtained for the uncorrected formation energy is -2040 kJ/mol of formula units.

=====

# 2
DFT (PBE) results for a relaxed K2Rb5Au5 crystal.

The structure in extended XYZ format:
```
12
Lattice="-2.1694 -3.6207 4.0845 0.2300 -5.8107 -0.8255 13.5180 -3.5824 8.2040" Properties=species:S:1:pos:R:3 pbc="T T T"
K 10.5345 -3.4893 6.7044
K 1.0441 -9.5246 4.7585
Rb 5.7893 -6.5069 5.7315
Rb 0.2696 -3.1724 1.5468
Rb 4.3215 -3.3006 3.5841
Rb 7.2571 -9.7132 7.8789
Rb 11.3090 -9.8414 9.9162
Au 4.0753 -9.6201 6.2825
Au 10.2293 -6.6439 7.9624
Au 1.3493 -6.3699 3.5006
Au 7.5033 -3.3938 5.1805
Au 0.0000 0.0000 0.0000
```

Properties
The space group is C2/m. Its total energy is -26.28 eV/cell.

=====

Number 1: spin magnetization 0.0 Bohr magnetons per cell. Number 2: spin magnetization 0.0 Bohr magnetons per cell.